Material: VHgF2
Method: DFT, PBE+U
State: relaxed

abc: 9.162 9.162 9.162
angles: 21.08 21.08 21.08
Fractional coordinates of all 4 atoms:
F 0.868 0.868 0.868
F 0.132 0.132 0.132
Hg 0.000 0.000 0.000
V 0.500 0.500 0.500

Computed properties:
The value obtained for the energy is -4.785 eV per atom. For the offset from the most stable computed form, the calculation gives 0.0 meV/atom.